# SrHf3Ti

SrHf3Ti after structural relaxation (PBE, the Alexandria database).

## Properties
**Space-group type**: Pm-3m
**Calculated volume**: 25.8 A^3/atom
**DOS(E_F)**: 7.74 states/eV/f.u.
**Formation enthalpy at 0 K**: 2.113 eV per atom
**Relative energy among the computed polymorphs**: 1323 meV/atom
**Size of the total moment**: 0.00 μB per formula unit

Cell lengths 5.0542, 5.0542, 5.0542 Å; angles 90.00, 90.00, 90.00 degrees
Closest atoms and distances in Å follow each position.
Sites, in units of the cell vectors:
Sr: 0.0000 0.0000 0.0000  6 Hf 2.53
Hf: 0.0000 0.0000 0.5000  2 Sr 2.53
Hf: 0.0000 0.5000 0.0000  2 Sr 2.53
Hf: 0.5000 0.0000 0.0000  2 Sr 2.53
Ti: 0.5000 0.5000 0.5000  12 Hf 3.57